# 1
VASP calculation (GGA-PBE) on a relaxed RbLi3Np2Se6 crystal.

- symmetry = C2/m
- total magnetization (μB per cell) = 6.0
- formation energy without anion corrections (eV/atom) = -1.149

abc: 8.5623 8.5623 9.9332
angles: 98.32 98.32 28.10
Closest atoms and distances in Å follow each position.
Fractional positions:
Rb1 0.0000 0.0000 0.0000  6 Se 3.49-3.54
Li1 0.0000 0.0000 0.5000  6 Se 2.66-2.96
Li2 0.3501 0.3501 0.2899  4 Se 2.56-2.67
Li3 0.6499 0.6499 0.7101  4 Se 2.56-2.67
Np1 0.3321 0.3321 0.6572  6 Se 2.69-2.91
Np2 0.6679 0.6679 0.3428  6 Se 2.69-2.91
Se1 0.1621 0.1621 0.5454  3 Li 2.66-2.67, 3 Np 2.88-2.91
Se2 0.1994 0.1994 0.1703  1 Li 2.61, 2 Np 2.79
Se3 0.4958 0.4958 0.7107  1 Li 2.56, 1 Np 2.69
Se4 0.5042 0.5042 0.2893  1 Li 2.56, 1 Np 2.69
Se5 0.8006 0.8006 0.8297  1 Li 2.61, 2 Np 2.79
Se6 0.8379 0.8379 0.4546  3 Li 2.66-2.67, 3 Np 2.88-2.91

=====

# 2
VASP calculation (GGA-PBE) on a relaxed Tm5AgAu4 crystal.

- symmetry = P4/mmm
- formation enthalpy at 0 K (meV/atom) = -786
- total magnetization (μB per cell) = 0.0

abc: 3.5326 3.5326 18.0238
angles: 90.00 90.00 90.00
Closest atoms and distances in Å follow each position.
Fractional positions:
Tm1 0.0000 0.0000 0.0000  8 Au 3.08
Tm2 0.0000 0.0000 0.1989  8 Au 3.07-3.10
Tm3 0.0000 0.0000 0.3971  4 Au 3.05, 4 Ag 3.11
Tm4 0.0000 0.0000 0.6029  4 Au 3.05, 4 Ag 3.11
Tm5 0.0000 0.0000 0.8011  8 Au 3.07-3.10
Ag1 0.5000 0.5000 0.5000  8 Tm 3.11
Au1 0.5000 0.5000 0.0999  8 Tm 3.07-3.08
Au2 0.5000 0.5000 0.3004  8 Tm 3.05-3.10
Au3 0.5000 0.5000 0.6996  8 Tm 3.05-3.10
Au4 0.5000 0.5000 0.9001  8 Tm 3.07-3.08

=====

# 3
VASP calculation (GGA-PBE) on a relaxed Dy3HoRh crystal.

- symmetry = Pm-3m
- formation enthalpy at 0 K (meV/atom) = -206
- total magnetization (μB per cell) = 0.0

abc: 5.3961 5.3961 5.3961
angles: 90.00 90.00 90.00
Closest atoms and distances in Å follow each position.
Fractional positions:
Dy1 0.0000 0.0000 0.5000  2 Rh 2.70
Dy2 0.0000 0.5000 0.0000  2 Rh 2.70
Dy3 0.5000 0.0000 0.0000  2 Rh 2.70
Ho1 0.5000 0.5000 0.5000  12 Dy 3.82
Rh1 0.0000 0.0000 0.0000  6 Dy 2.70

=====

# 4
VASP calculation (GGA-PBE) on a relaxed FeTcP crystal.

- symmetry = I4mm
- formation enthalpy at 0 K (meV/atom) = -202
- total magnetization (μB per cell) = 1.0

abc: 4.8911 4.8911 4.8911
angles: 146.22 146.22 48.51
Closest atoms and distances in Å follow each position.
Fractional positions:
Fe1 0.0000 0.0000 0.0000  4 P 2.34
Tc1 0.3000 0.3000 0.0000  4 P 2.49, 5 Fe 2.68-2.69
P1 0.6353 0.6353 0.0000  4 Fe 2.34, 4 Tc 2.49

=====

# 5
VASP calculation (GGA-PBE) on a relaxed NaNb3O7 crystal.

- symmetry = Cmmm
- total magnetization (μB per cell) = 0.0
- formation energy without anion corrections (eV/atom) = -2.312

abc: 6.7973 6.7973 3.8947
angles: 90.00 90.00 126.54
Closest atoms and distances in Å follow each position.
Fractional positions:
Na1 0.0000 0.0000 0.0000  4 O 2.22
Nb1 0.2512 0.7488 0.0000  4 O 1.96-2.08
Nb2 0.5000 0.5000 0.0000  6 O 1.95-2.11
Nb3 0.7488 0.2512 0.0000  4 O 1.96-2.08
O1 0.1371 0.3896 0.0000  3 Nb 2.08-2.21, 1 Na 2.22
O2 0.2309 0.7691 0.5000  2 Nb 1.96
O3 0.3896 0.1371 0.0000  3 Nb 2.08-2.21, 1 Na 2.22
O4 0.5000 0.5000 0.5000  2 Nb 1.95
O5 0.6104 0.8629 0.0000  3 Nb 2.08-2.21, 1 Na 2.22
O6 0.7691 0.2309 0.5000  2 Nb 1.96
O7 0.8629 0.6104 0.0000  3 Nb 2.08-2.21, 1 Na 2.22

=====

# 6
VASP calculation (GGA-PBE) on a relaxed MgMn2Si crystal.

- symmetry = P4/mmm
- total magnetization (μB per cell) = 5.1
- formation energy without anion corrections (eV/atom) = -0.009

abc: 3.8888 3.8888 3.5812
angles: 90.00 90.00 90.00
Closest atoms and distances in Å follow each position.
Fractional positions:
Mg1 0.0000 0.0000 0.0000  8 Mn 2.64, 4 Si 2.75
Mn1 0.0000 0.5000 0.5000  4 Mg 2.64, 4 Si 2.64, 4 Mn 2.75
Mn2 0.5000 0.0000 0.5000  4 Mg 2.64, 4 Si 2.64, 4 Mn 2.75
Si1 0.5000 0.5000 0.0000  8 Mn 2.64, 4 Mg 2.75

=====

Question: Look up the total magnetization of the first one.
Answer: 6.0 μB per cell

=====

Question: Look up the total magnetization of the third one.
Answer: 0.0 μB per cell

=====

Copy entry 6 word for word.
VASP calculation (GGA-PBE) on a relaxed MgMn2Si crystal.

- symmetry = P4/mmm
- total magnetization (μB per cell) = 5.1
- formation energy without anion corrections (eV/atom) = -0.009

abc: 3.8888 3.8888 3.5812
angles: 90.00 90.00 90.00
Closest atoms and distances in Å follow each position.
Fractional positions:
Mg1 0.0000 0.0000 0.0000  8 Mn 2.64, 4 Si 2.75
Mn1 0.0000 0.5000 0.5000  4 Mg 2.64, 4 Si 2.64, 4 Mn 2.75
Mn2 0.5000 0.0000 0.5000  4 Mg 2.64, 4 Si 2.64, 4 Mn 2.75
Si1 0.5000 0.5000 0.0000  8 Mn 2.64, 4 Mg 2.75